(1)
HgPtI2N | PBE | optimized geometry

Values from the calculation:
Formation energy without anion corrections, meV per atom: 1499
Magnetic moment, Bohr magnetons per cell: 2.88
ΔE to the lowest computed polymorph, eV/atom: 1.063

a b c (Å): 5.988 5.988 4.052
angles (deg): 90.00 90.00 90.00
Space group P4/mmm (No. 123)
Asymmetric unit:
1 Hg 0.000 0.000 0.000 x1
2 Pt 0.500 0.500 0.500 x1
3 I 0.000 0.500 0.000 x2
4 N 0.000 0.000 0.500 x1

***

(2)
Rb2HgI6N | PBE | optimized geometry

Values from the calculation:
Formation energy without anion corrections, meV per atom: -207
Magnetic moment, Bohr magnetons per cell: 0.00

a b c (Å): 8.000 8.000 11.442
angles (deg): 90.00 90.00 90.00
Space group I4/mmm (No. 139)
Asymmetric unit:
1 Rb 0.000 0.500 0.250 x4
2 Hg 0.000 0.000 0.000 x2
3 I 0.000 0.000 0.270 x4
4 I 0.233 0.233 0.500 x8
5 N 0.000 0.000 0.500 x2

***

(3)
ReHgI2N | PBE | optimized geometry

Values from the calculation:
Formation energy without anion corrections, meV per atom: 384
Magnetic moment, Bohr magnetons per cell: 0.00
ΔE to the lowest computed polymorph, eV/atom: 0.000

a b c (Å): 5.704 5.704 3.799
angles (deg): 90.00 90.00 90.00
Space group P4/mmm (No. 123)
Asymmetric unit:
1 Re 0.000 0.000 0.000 x1
2 Hg 0.500 0.500 0.500 x1
3 I 0.000 0.500 0.000 x2
4 N 0.000 0.000 0.500 x1

***

(4)
ReHgIN2 | PBE | optimized geometry

Values from the calculation:
Formation energy without anion corrections, meV per atom: 741
Magnetic moment, Bohr magnetons per cell: 0.15
ΔE to the lowest computed polymorph, eV/atom: 0.000

a b c (Å): 3.987 3.987 5.869
angles (deg): 90.00 90.00 90.00
Space group P4/mmm (No. 123)
Asymmetric unit:
1 Re 0.000 0.000 0.000 x1
2 Hg 0.500 0.500 0.500 x1
3 I 0.000 0.000 0.500 x1
4 N 0.000 0.500 0.000 x2

***

(5)
ReHgI2N | PBE | optimized geometry

Values from the calculation:
Formation energy without anion corrections, meV per atom: 2055
Magnetic moment, Bohr magnetons per cell: 5.28
ΔE to the lowest computed polymorph, eV/atom: 1.671

a b c (Å): 6.252 6.252 3.945
angles (deg): 90.00 90.00 90.00
Space group P4/mmm (No. 123)
Asymmetric unit:
1 Re 0.000 0.000 0.000 x1
2 Hg 0.500 0.500 0.500 x1
3 I 0.000 0.500 0.500 x2
4 N 0.500 0.500 0.000 x1

***

(6)
ReHgIN2 | PBE | optimized geometry

Values from the calculation:
Formation energy without anion corrections, meV per atom: 2719
Magnetic moment, Bohr magnetons per cell: 7.09
ΔE to the lowest computed polymorph, eV/atom: 1.978

a b c (Å): 4.196 4.196 7.504
angles (deg): 90.00 90.00 90.00
Space group P4/mmm (No. 123)
Asymmetric unit:
1 Re 0.000 0.000 0.000 x1
2 Hg 0.500 0.500 0.500 x1
3 I 0.500 0.500 0.000 x1
4 N 0.000 0.500 0.500 x2

***

Which of these has the highest magnetic moment?
number 6